Entry 1:
Hg2Au after structural relaxation. Source: Alexandria, functional PBE.

Values from the calculation:
Calculated total energy in eV per cell: -15.06
SG: Fm-3m

Lattice parameters (Å, degrees): 6.730 6.730 6.730 90.00 90.00 90.00
Fractional positions:
Au 0.000 0.000 0.000
Au 0.000 0.500 0.500
Au 0.500 0.000 0.500
Au 0.500 0.500 0.000
Hg 0.250 0.750 0.750
Hg 0.250 0.750 0.250
Hg 0.250 0.250 0.750
Hg 0.250 0.250 0.250
Hg 0.750 0.750 0.750
Hg 0.750 0.750 0.250
Hg 0.750 0.250 0.750
Hg 0.750 0.250 0.250

Entry 2:
Hg2Au13 after structural relaxation. Source: Alexandria, functional PBE.

Values from the calculation:
E above lowest polymorph in meV per atom: 113.2
SG: R-3m

Lattice parameters (Å, degrees): 7.703 7.703 8.247 62.16 62.16 60.00
Fractional positions:
Hg 0.732 0.732 0.804
Hg 0.268 0.268 0.196
Au 0.500 0.500 0.500
Au 0.143 0.517 0.823
Au 0.517 0.517 0.823
Au 0.517 0.143 0.823
Au 0.483 0.857 0.177
Au 0.857 0.483 0.177
Au 0.483 0.483 0.177
Au 0.098 0.736 0.430
Au 0.736 0.736 0.430
Au 0.736 0.098 0.430
Au 0.264 0.902 0.570
Au 0.902 0.264 0.570
Au 0.264 0.264 0.570

Entry 3:
HgAu7 after structural relaxation. Source: Alexandria, functional PBE.

Values from the calculation:
Calculated total energy in eV per cell: -23.01
SG: Fm-3m

Lattice parameters (Å, degrees): 5.942 5.942 5.942 60.00 60.00 60.00
Fractional positions:
Au 0.000 0.000 0.500
Au 0.000 0.500 0.000
Au 0.000 0.500 0.500
Au 0.500 0.000 0.000
Au 0.500 0.000 0.500
Au 0.500 0.500 0.000
Au 0.500 0.500 0.500
Hg 0.000 0.000 0.000

Entry 4:
HgAu4 after structural relaxation. Source: Alexandria, functional PBE.

Values from the calculation:
E above lowest polymorph in meV per atom: 72.7
SG: I4/mmm

Lattice parameters (Å, degrees): 7.519 7.519 7.519 150.07 150.07 42.84
Fractional positions:
Hg 0.000 0.000 0.000
Au 0.750 0.250 0.500
Au 0.403 0.403 0.000
Au 0.597 0.597 0.000
Au 0.250 0.750 0.500

Entry 5:
Hg2Au after structural relaxation. Source: Alexandria, functional PBE.

Values from the calculation:
Calculated total energy in eV per cell: -7.35
SG: Cm

Lattice parameters (Å, degrees): 8.278 8.278 13.093 147.39 147.39 20.01
Fractional positions:
Au 0.978 0.978 0.971
Au 0.303 0.303 0.633
Hg 0.217 0.217 0.829
Hg 0.507 0.507 0.418
Hg 0.663 0.663 0.317
Hg 0.666 0.666 0.998

Entry 6:
Hg2Au after structural relaxation. Source: Alexandria, functional PBE.

Values from the calculation:
Calculated total energy in eV per cell: -7.61
SG: I4/mcm

Lattice parameters (Å, degrees): 5.745 5.745 5.745 103.27 103.27 122.74
Fractional positions:
Au 0.250 0.250 0.000
Au 0.750 0.750 0.000
Hg 0.153 0.347 0.500
Hg 0.347 0.847 0.194
Hg 0.653 0.153 0.806
Hg 0.847 0.653 0.500